Record 1
The following is a DFT calculation (GGA-PBE) of an optimized crystal structure of Tl2CuAs.

```
Tl2CuAs
1.0
-0.0270 0.4306 -3.4064
1.4311 -3.0951 -0.4026
-7.6022 -3.4658 -0.3778
As Cu Tl
1 1 2
direct
0.0000 0.0000 0.5814
0.5000 0.5000 0.6660
0.0000 0.0000 0.9509
0.5000 0.5000 0.3017
```

Output
Energy relative to the elements ... 118 meV/atom
DFT total energy ... -3.2513 eV/atom
Space-group type ... P4mm (99)
Energy above the lowest structure with this stoichiometry ... 147 meV/atom

Record 2
The following is a DFT calculation (GGA-PBE) of an optimized crystal structure of Ba2GeP.

```
Ba2GeP
1.0
8.8550 0.0000 0.0000
0.0000 8.8550 0.0000
4.4275 4.4275 3.5702
P Ge Ba
2 2 4
direct
0.5000 0.5000 0.0000
0.2500 0.7500 0.5000
0.0000 0.0000 0.0000
0.7500 0.2500 0.5000
0.5964 0.1250 0.2500
0.1536 0.6250 0.2500
0.3750 0.4036 0.7500
0.8750 0.8464 0.7500
```

Output
Energy relative to the elements ... -276 meV/atom
DFT total energy ... -3.7446 eV/atom
Space-group type ... I-42d (122)
Energy above the lowest structure with this stoichiometry ... 415 meV/atom

Record 3
The following is a DFT calculation (GGA-PBE) of an optimized crystal structure of KMoS2Cl.

```
KMoS2Cl
1.0
-3.0258 2.9356 -2.0445
1.2139 -1.6763 -4.2035
-3.7658 -3.6306 0.3603
S Mo K Cl
2 1 1 1
direct
0.0000 0.5000 0.0000
0.5000 0.0000 0.0000
0.0000 0.0000 0.0000
0.5000 0.5000 0.5000
0.0000 0.0000 0.5000
```

Output
Uncorrected formation energy ... -3.8 eV per formula unit
DFT total energy ... -5.1605 eV/atom
Space-group type ... P4/mmm (123)
Energy above the lowest structure with this stoichiometry ... 0 meV/atom

Record 4
The following is a DFT calculation (GGA-PBE) of an optimized crystal structure of KPaTlO5.

```
KPaTlO5
1.0
6.5355 -0.0240 -0.0821
-1.9308 6.2438 -0.0821
-2.0086 -2.7132 7.7011
K Pa Tl O
2 2 2 10
direct
0.3226 0.6774 0.2500
0.6774 0.3226 0.7500
0.0000 0.0000 0.5000
0.0000 0.0000 0.0000
0.6870 0.3130 0.2500
0.3130 0.6870 0.7500
0.0499 0.9501 0.2500
0.9501 0.0499 0.7500
0.8880 0.2750 0.0863
0.1120 0.7250 0.9137
0.7250 0.1120 0.4137
0.2750 0.8880 0.5863
0.7581 0.6605 0.4054
0.2419 0.3395 0.5946
0.3395 0.2419 0.0946
0.6605 0.7581 0.9054
```

Output
Uncorrected formation energy ... -15.9 eV per formula unit
DFT total energy ... -6.7029 eV/atom
Space-group type ... C2/c (15)

Record 5
The following is a DFT calculation (GGA-PBE) of an optimized crystal structure of ReSi2Ru.

```
ReSi2Ru
1.0
-4.4487 3.1714 -5.8493
-5.9818 0.8159 -5.2549
-6.3425 3.1973 -3.6895
Re Ru Si
1 1 2
direct
0.5037 0.5037 0.5037
0.7442 0.7442 0.7442
0.0018 0.0018 0.0018
0.2503 0.2503 0.2503
```

Output
Uncorrected formation energy ... -0.2 eV per formula unit
DFT total energy ... -8.2003 eV/atom
Space-group type ... R3m (160)

Record 6
The following is a DFT calculation (GGA-PBE) of an optimized crystal structure of SrTaRe3.

```
SrTaRe3
1.0
4.9005 0.0000 0.0000
0.0000 4.9005 0.0000
0.0000 0.0000 4.9005
Re Sr Ta
3 1 1
direct
0.0000 0.5000 0.0000
0.0000 0.0000 0.5000
0.5000 0.0000 0.0000
0.5000 0.5000 0.5000
0.0000 0.0000 0.0000
```

Output
Energy relative to the elements ... 1732 meV/atom
DFT total energy ... -8.4442 eV/atom
Space-group type ... Pm-3m (221)
Energy above the lowest structure with this stoichiometry ... 0 meV/atom

Record 7
The following is a DFT calculation (GGA-PBE) of an optimized crystal structure of Pm6Sn5.

```
Pm6Sn5
1.0
8.9575 -0.0029 0.4689
4.4757 8.5273 0.2407
3.3308 0.0022 4.5719
Pm Sn
6 5
direct
0.7407 0.9998 0.7592
0.2593 0.0002 0.2408
0.4227 0.6628 0.7459
0.9145 0.6629 0.2542
0.5773 0.3372 0.2541
0.0855 0.3371 0.7458
0.5000 0.0000 0.5000
0.3306 0.3387 0.9999
0.6694 0.6613 0.0001
0.1565 0.6871 0.5000
0.8435 0.3129 0.5000
```

Output
Energy relative to the elements ... -602 meV/atom
DFT total energy ... -5.0123 eV/atom
Space-group type ... C2/m (12)

Record 8
The following is a DFT calculation (GGA-PBE) of an optimized crystal structure of SbIr2PdI.

```
SbIr2PdI
1.0
4.9477 0.0000 0.0000
0.0000 4.9655 0.0000
0.0000 0.0000 4.9477
I Sb Ir Pd
1 1 2 1
direct
0.5000 0.5000 0.5000
0.0000 0.0000 0.0000
0.0000 0.0000 0.5000
0.5000 0.0000 0.0000
0.0000 0.5000 0.0000
```

Output
Uncorrected formation energy ... 6.1 eV per formula unit
DFT total energy ... -4.4914 eV/atom
Space-group type ... P4/mmm (123)

Record 9
The following is a DFT calculation (GGA-PBE) of an optimized crystal structure of Te2PCl.

```
Te2PCl
1.0
-3.5812 -0.9929 0.9928
-1.5324 -3.4061 -0.9200
2.6379 -3.4051 7.1215
Cl P Te
1 1 2
direct
0.2500 0.2500 0.2500
0.7500 0.7500 0.7500
0.0640 0.0640 0.9564
0.4360 0.4360 0.5436
```

Output
Uncorrected formation energy ... 0.2 eV per formula unit
DFT total energy ... -3.3312 eV/atom
Space-group type ... C2/m (12)
Energy above the lowest structure with this stoichiometry ... 149 meV/atom

Record 10
The following is a DFT calculation (GGA-PBE) of an optimized crystal structure of BaCa2Mg.

```
BaCa2Mg
1.0
7.0429 0.0957 0.0737
2.8365 6.4471 -0.0737
-4.3855 -4.1083 3.6751
Mg Ca Ba
1 2 1
direct
0.4869 0.4869 0.0000
0.0078 0.0078 0.0000
0.2732 0.7732 0.5000
0.7321 0.2321 0.5000
```

Output
Energy relative to the elements ... 39 meV/atom
DFT total energy ... -1.8409 eV/atom
Space-group type ... Imm2 (44)

Record 11
The following is a DFT calculation (GGA-PBE) of an optimized crystal structure of Ba6Pt2PbI3.

```
Ba6Pt2PbI3
1.0
4.7145 0.0000 0.0000
0.0000 10.4261 -0.1231
-2.3572 -3.5240 10.5402
Ba Pt Pb I
6 2 1 3
direct
0.3360 0.8808 0.6720
0.6806 0.5558 0.3612
0.6640 0.1192 0.3280
0.0154 0.2503 0.0309
0.9846 0.7497 0.9691
0.3194 0.4442 0.6388
0.8308 0.6623 0.6616
0.1692 0.3377 0.3384
0.5000 0.0000 0.0000
0.5000 0.5000 0.0000
0.8358 0.1700 0.6716
0.1642 0.8300 0.3284
```

Output
Uncorrected formation energy ... -13.0 eV per formula unit
DFT total energy ... -3.7461 eV/atom
Space-group type ... C2/m (12)

Record 12
The following is a DFT calculation (GGA-PBE) of an optimized crystal structure of BC7.

```
BC7
1.0
4.4836 -0.0253 0.0000
-1.5183 4.2187 0.0000
0.0000 0.0000 2.5199
B C
1 7
direct
0.0081 0.4919 0.5000
0.3816 0.6285 0.5000
0.9966 0.9966 0.0000
0.3761 0.1239 0.0000
0.5034 0.5034 0.0000
0.8618 0.6382 0.0000
0.5009 0.9991 0.5000
0.8715 0.1184 0.5000
```

Output
Energy relative to the elements ... 238 meV/atom
DFT total energy ... -8.6676 eV/atom
Space-group type ... Amm2 (38)
Energy above the lowest structure with this stoichiometry ... 30 meV/atom